Entry 1:
This record from the Alexandria database describes a geometry-optimized NpGaFeRu structure. The functional is PBE.

Cell and atoms, written as CIF:
```
data_NpGaFeRu
_chemical_formula_sum 'Np4 Ga4 Fe4 Ru4'
_symmetry_space_group_name_H-M 'F -4 3 m'
_symmetry_Int_Tables_number 216
_symmetry_space_group_name_Hall 'F -4 2 3'
_cell_length_a 6.3287
_cell_length_b 6.3287
_cell_length_c 6.3287
_cell_angle_alpha 90.00
_cell_angle_beta 90.00
_cell_angle_gamma 90.00
loop_
_atom_site_label
_atom_site_type_symbol
_atom_site_fract_x
_atom_site_fract_y
_atom_site_fract_z
Np1 Np 0.0000 0.0000 0.0000
Ga1 Ga 0.0000 0.0000 0.5000
Fe1 Fe 0.2500 0.2500 0.2500
Ru1 Ru 0.2500 0.2500 0.7500
```

- formation energy (eV/f.u.) = -0.6


Entry 2:
This record from the Alexandria database describes a geometry-optimized BaSr2Cu structure. The functional is PBE.

Cell and atoms, written as CIF:
```
data_BaSr2Cu
_chemical_formula_sum 'Ba3 Sr6 Cu3'
_symmetry_space_group_name_H-M 'R 3 m'
_symmetry_Int_Tables_number 160
_symmetry_space_group_name_Hall 'R 3 -2"'
_cell_length_a 4.4518
_cell_length_b 4.4518
_cell_length_c 32.4055
_cell_angle_alpha 90.00
_cell_angle_beta 90.00
_cell_angle_gamma 120.00
loop_
_atom_site_label
_atom_site_type_symbol
_atom_site_fract_x
_atom_site_fract_y
_atom_site_fract_z
Ba1 Ba 0.0000 0.0000 0.0000
Sr1 Sr 0.0000 0.0000 0.5528
Sr2 Sr 0.0000 0.0000 0.7794
Cu1 Cu 0.0000 0.0000 0.1658
```

- formation energy (eV/f.u.) = 0.1


Entry 3:
This record from the Alexandria database describes a geometry-optimized AcZnGeN structure. The functional is PBE.

Cell and atoms, written as CIF:
```
data_AcZnGeN
_chemical_formula_sum 'Ac2 Zn2 Ge2 N2'
_symmetry_space_group_name_H-M 'P 4/n m m'
_symmetry_Int_Tables_number 129
_cell_length_a 4.1328
_cell_length_b 4.1328
_cell_length_c 9.0680
_cell_angle_alpha 90.00
_cell_angle_beta 90.00
_cell_angle_gamma 90.00
loop_
_symmetry_equiv_pos_as_xyz
'x,y,z'
'-x,-y,-z'
'-y+1/2,x,z'
'y+1/2,-x,-z'
'-x+1/2,-y+1/2,z'
'x+1/2,y+1/2,-z'
'y,-x+1/2,z'
'-y,x+1/2,-z'
'x+1/2,-y,-z'
'-x+1/2,y,z'
'-y,-x,-z'
'y,x,z'
'-x,y+1/2,-z'
'x,-y+1/2,z'
'y+1/2,x+1/2,-z'
'-y+1/2,-x+1/2,z'
loop_
_atom_site_label
_atom_site_type_symbol
_atom_site_fract_x
_atom_site_fract_y
_atom_site_fract_z
Ac1 Ac 0.2500 0.2500 0.1505
Zn1 Zn 0.2500 0.2500 0.6686
Ge1 Ge 0.2500 0.7500 0.5000
N1 N 0.2500 0.2500 0.8841
```

- energy (eV per atom) = -5.189